(1)
First-principles (PBE-GGA) data for an optimized crystal structure of PuZnHgAu, as listed in Alexandria.

Cell lengths 7.066, 7.066, 7.066 Å; angles 90.00, 90.00, 90.00 degrees
Space group F-43m (No. 216)
One atom of each set of equivalent atoms:
Pu 0.000 0.000 0.000 (multiplicity 4)
Zn 0.000 0.000 0.500 (multiplicity 4)
Hg 0.250 0.250 0.250 (multiplicity 4)
Au 0.250 0.250 0.750 (multiplicity 4)

## Properties
Crystal system: cubic
Uncorrected energy, eV per atom: -4.97
Formation energy, eV/atom: -0.171


(2)
First-principles (PBE-GGA) data for an optimized crystal structure of AcPmY, as listed in Alexandria.

Cell lengths 3.7630, 3.7630, 9.0674 Å; angles 90.00, 90.00, 120.00 degrees
Space group P3m1 (No. 156)
One atom of each set of equivalent atoms:
Ac 0.0000 0.0000 0.0000 (multiplicity 1)
Pm 0.6667 0.3333 0.3454 (multiplicity 1)
Y 0.3333 0.6667 0.6623 (multiplicity 1)

## Properties
Crystal system: trigonal
Excess energy over the best structure of this formula in the dataset, meV/atom: 2.0
Uncorrected energy, eV per atom: -5.06
Formation energy, eV/atom: 0.046


(3)
First-principles (PBE-GGA) data for an optimized crystal structure of CeMgSe3, as listed in Alexandria.

Cell lengths 7.1648, 7.1648, 18.5233 Å; angles 90.00, 90.00, 120.00 degrees
Space group R-3 (No. 148, hexagonal axes)
One atom of each set of equivalent atoms:
Ce 0.0000 0.0000 0.1516 (multiplicity 6)
Mg 0.0000 0.0000 0.3481 (multiplicity 6)
Se 0.0105 0.3110 0.2518 (multiplicity 18)

## Properties
Uncorrected formation energy, eV per atom: -1.383
Crystal system: trigonal
Excess energy over the best structure of this formula in the dataset, meV/atom: 53.7
Uncorrected energy, eV per atom: -4.98


(4)
First-principles (PBE-GGA) data for an optimized crystal structure of La2Tb2Th15, as listed in Alexandria.

Cell lengths 11.5410, 11.5410, 17.1613 Å; angles 90.00, 90.00, 120.00 degrees
Space group R-3m (No. 166, hexagonal axes)
One atom of each set of equivalent atoms:
La 0.0000 0.0000 0.1067 (multiplicity 6)
Tb 0.0000 0.0000 0.3630 (multiplicity 6)
Th 0.0000 0.3197 0.0000 (multiplicity 18)
Th 0.0000 0.5000 0.5000 (multiplicity 9)
Th 0.0143 0.5072 0.1681 (multiplicity 18)

## Properties
Crystal system: trigonal
Uncorrected energy, eV per atom: -6.58
Formation energy, eV/atom: 0.284